Compound: GdAlNiPd
Source: the Open Quantum Materials Database
Functional: PBE
Structure: relaxed

Unit cell a=4.277 b=4.277 c=9.151 alpha=90.00 beta=90.00 gamma=120.00
Sites, in units of the cell vectors:
Ni1 0.667 0.333 0.433
Ni2 0.333 0.667 0.933
Gd1 0.667 0.333 0.751
Gd2 0.333 0.667 0.251
Al1 0.000 0.000 0.491
Al2 0.000 0.000 0.991
Pd1 0.333 0.667 0.574
Pd2 0.667 0.333 0.074

Summary:
Energy in eV for the cell shown: -44.15
Magnetic moment in μB per cell: 0.00
Energy relative to the lowest polymorph listed for this composition in kJ/mol of atoms: 0.7
Space-group type: P6_3mc (186)



Compound: HoBiPt
Source: the Open Quantum Materials Database
Functional: PBE
Structure: relaxed

Unit cell a=7.650 b=7.650 c=4.168 alpha=90.00 beta=90.00 gamma=120.00
Sites, in units of the cell vectors:
Ho1 0.000 0.605 0.500
Ho2 0.395 0.395 0.500
Ho3 0.605 0.000 0.500
Pt1 0.667 0.333 0.000
Pt2 0.333 0.667 0.000
Pt3 0.000 0.000 0.500
Bi1 0.731 0.731 0.000
Bi2 0.000 0.269 0.000
Bi3 0.269 0.000 0.000

Summary:
Energy in eV for the cell shown: -51.71
Magnetic moment in μB per cell: 0.00
Space-group type: P-62m (189)



Compound: Cs2TcS3
Source: the Open Quantum Materials Database
Functional: PBE
Structure: relaxed

Unit cell a=7.655 b=7.655 c=6.565 alpha=90.00 beta=90.00 gamma=74.30
Sites, in units of the cell vectors:
Tc1 0.904 0.096 0.250
Tc2 0.096 0.904 0.750
Cs1 0.509 0.171 0.750
Cs2 0.491 0.829 0.250
Cs3 0.829 0.491 0.750
Cs4 0.171 0.509 0.250
S1 0.117 0.117 0.000
S2 0.661 0.339 0.250
S3 0.117 0.117 0.500
S4 0.883 0.883 0.500
S5 0.339 0.661 0.750
S6 0.883 0.883 0.000

Summary:
Energy in eV for the cell shown: -58.60
Magnetic moment in μB per cell: 0.17
Energy relative to the lowest polymorph listed for this composition in kJ/mol of atoms: 4.2
Space-group type: Cmcm (63)



Compound: YZrAlFe
Source: the Open Quantum Materials Database
Functional: PBE
Structure: relaxed

Unit cell a=4.694 b=4.694 c=4.694 alpha=60.00 beta=60.00 gamma=60.00
Sites, in units of the cell vectors:
Zr1 0.500 0.500 0.500
Al1 0.000 0.000 0.000
Fe1 0.750 0.750 0.750
Y1 0.250 0.250 0.250

Summary:
Energy in eV for the cell shown: -26.92
Magnetic moment in μB per cell: 0.00
Energy relative to the lowest polymorph listed for this composition in kJ/mol of atoms: 0.0
Space-group type: F-43m (216)



Compound: ZrCdIn2
Source: the Open Quantum Materials Database
Functional: PBE
Structure: relaxed

Unit cell a=5.098 b=5.098 c=5.098 alpha=60.00 beta=60.00 gamma=60.00
Sites, in units of the cell vectors:
Cd1 0.750 0.750 0.750
Zr1 0.500 0.500 0.500
In1 0.000 0.000 0.000
In2 0.250 0.250 0.250

Summary:
Energy in eV for the cell shown: -14.23
Magnetic moment in μB per cell: 0.06
Space-group type: F-43m (216)



Compound: AsIrS6
Source: the Open Quantum Materials Database
Functional: PBE
Structure: relaxed

Unit cell a=6.097 b=6.097 c=6.097 alpha=60.00 beta=60.00 gamma=60.00
Sites, in units of the cell vectors:
Ir1 0.000 0.000 0.000
S1 0.270 0.270 0.730
S2 0.730 0.730 0.270
S3 0.730 0.270 0.270
S4 0.270 0.730 0.730
S5 0.270 0.730 0.270
S6 0.730 0.270 0.730
As1 0.250 0.250 0.250

Summary:
Energy in eV for the cell shown: -33.09
Magnetic moment in μB per cell: 0.04
Space-group type: F-43m (216)



| no. | calculated volume (A^3/atom) |
| --- | --- |
| 1 | 18.12 |
| 2 | 23.48 |
| 3 | 30.86 |
| 4 | 18.28 |
| 5 | 23.42 |
| 6 | 20.03 |